Entry 1:
First-principles (PBE) data for a relaxed SrI2Cl2 crystal, as listed in Alexandria.

Its total energy is -2.917 eV per atom. Its density is 3.1 g/cm³. The value obtained for the formation energy from raw total energies is -1.22 eV/atom.

The space group is P4/mbm (No. 127) and the conventional cell measures 7.664, 7.664 and 7.533 Å, with angles of 90.00, 90.00 and 90.00 degrees. The inequivalent atoms are Sr at (0.000, 0.000, 0.000), I at (0.125, 0.375, 0.500) and Cl at (0.183, 0.683, 0.000).

Entry 2:
First-principles (PBE) data for a relaxed AlCr2Pt crystal, as listed in Alexandria.

Its total energy is -7.580 eV per atom. Its density is 9.9 g/cm³. As for the formation energy: -0.32 eV per atom.

The space group is P4mm (No. 99) and the conventional cell measures 3.075, 3.075 and 5.804 Å, with angles of 90.00, 90.00 and 90.00 degrees. The inequivalent atoms are Al at (0.000, 0.000, 0.000), Cr at (0.000, 0.000, 0.462), Cr at (0.500, 0.500, 0.275) and Pt at (0.500, 0.500, 0.766).

Entry 3:
First-principles (PBE) data for a relaxed Mg10Sn3Pb3 crystal, as listed in Alexandria.

Its total energy is -2.510 eV per atom. Its density is 5.1 g/cm³. As for the formation energy: -0.07 eV per atom.

The space group is P-62m (No. 189) and the conventional cell measures 8.8147, 8.8147 and 5.8874 Å, with angles of 90.00, 90.00 and 120.00 degrees. The inequivalent atoms are Mg at (0.0000, 0.2231, 0.0000), Mg at (0.0000, 0.7795, 0.5000), Mg at (0.3333, 0.6667, 0.2466), Sn at (0.0000, 0.6032, 0.0000) and Pb at (0.0000, 0.4007, 0.5000).

Entry 4:
First-principles (PBE) data for a relaxed RbCoS2I crystal, as listed in Alexandria.

Its total energy is -3.655 eV per atom. Its density is 3.0 g/cm³. The value obtained for the formation energy from raw total energies is -0.08 eV/atom.

The space group is P4/mmm (No. 123) and the conventional cell measures 4.539, 4.539 and 9.013 Å, with angles of 90.00, 90.00 and 90.00 degrees. The inequivalent atoms are Rb at (0.000, 0.000, 0.000), Co at (0.000, 0.000, 0.500), S at (0.000, 0.500, 0.500) and I at (0.500, 0.500, 0.000).

Entry 5:
First-principles (PBE) data for a relaxed TbHo8Sc6 crystal, as listed in Alexandria.

Its total energy is -5.093 eV per atom. Its density is 6.7 g/cm³. As for the formation energy: 0.19 eV per atom.

The space group is R-3 (No. 148, hexagonal axes) and the conventional cell measures 9.3385, 9.3385 and 17.1996 Å, with angles of 90.00, 90.00 and 120.00 degrees. The inequivalent atoms are Tb at (0.0000, 0.0000, 0.0000), Ho at (0.0000, 0.0000, 0.4088), Ho at (0.0534, 0.8117, 0.1746) and Sc at (0.0304, 0.7370, 0.6796).

Entry 6:
First-principles (PBE) data for a relaxed ZnIn2Bi crystal, as listed in Alexandria.

Its total energy is -2.526 eV per atom. Its density is 7.9 g/cm³. As for the formation energy: 0.13 eV per atom.

The space group is P4/mmm (No. 123) and the conventional cell measures 4.810, 4.810 and 4.582 Å, with angles of 90.00, 90.00 and 90.00 degrees. The inequivalent atoms are Zn at (0.000, 0.000, 0.000), In at (0.000, 0.500, 0.500) and Bi at (0.500, 0.500, 0.000).

Entry 7:
First-principles (PBE) data for a relaxed BaErMnS4 crystal, as listed in Alexandria.

Its total energy is -6.091 eV per atom. Its density is 4.8 g/cm³. The value obtained for the formation energy from raw total energies is -1.50 eV/atom.

The space group is P2_1/m (No. 11) and the conventional cell measures 6.553, 6.297 and 8.582 Å, with angles of 90.00, 107.93 and 90.00 degrees. The inequivalent atoms are Ba at (0.243, 0.250, 0.439), Er at (0.263, 0.250, 0.944), Mn at (0.267, 0.750, 0.172), S at (0.057, 0.750, 0.913), S at (0.072, 0.750, 0.352) and S at (0.487, 0.508, 0.786).

Entry 8:
First-principles (PBE) data for a relaxed Pr4Sm3Dy2 crystal, as listed in Alexandria.

Its total energy is -4.654 eV per atom. Its density is 7.1 g/cm³. As for the formation energy: 0.07 eV per atom.

The space group is P3m1 (No. 156) and the conventional cell measures 3.6470, 3.6470 and 27.1936 Å, with angles of 90.00, 90.00 and 120.00 degrees. The inequivalent atoms are Pr at (0.0000, 0.0000, 0.0000), Pr at (0.0000, 0.0000, 0.2199), Pr at (0.3333, 0.6667, 0.3335), Pr at (0.3333, 0.6667, 0.5556), Sm at (0.0000, 0.0000, 0.4438), Sm at (0.3333, 0.6667, 0.1077), Sm at (0.3333, 0.6667, 0.7699), Dy at (0.0000, 0.0000, 0.6627) and Dy at (0.0000, 0.0000, 0.8731).

Copy entry 5 word for word.
First-principles (PBE) data for a relaxed TbHo8Sc6 crystal, as listed in Alexandria.

Its total energy is -5.093 eV per atom. Its density is 6.7 g/cm³. As for the formation energy: 0.19 eV per atom.

The space group is R-3 (No. 148, hexagonal axes) and the conventional cell measures 9.3385, 9.3385 and 17.1996 Å, with angles of 90.00, 90.00 and 120.00 degrees. The inequivalent atoms are Tb at (0.0000, 0.0000, 0.0000), Ho at (0.0000, 0.0000, 0.4088), Ho at (0.0534, 0.8117, 0.1746) and Sc at (0.0304, 0.7370, 0.6796).